## Ba2NiTe (PBE)

Data for Ba2NiTe after structural relaxation.

Computed properties:
SG ... P4mm
ΔE_f (raw) ... -0.622 eV/atom

Cell: 4.8319 4.8319 6.8497 Å, 90.00 90.00 90.00°
Fractional coordinates of all 4 atoms:
Ba: 0.0000 0.0000 0.0000
Ba: 0.5000 0.5000 0.4770
Ni: 0.0000 0.0000 0.4709
Te: 0.5000 0.5000 0.9758

=====

## Ba2NiTe (PBE)

Data for Ba2NiTe after structural relaxation.

Computed properties:
SG ... I-42d
ΔE_f (raw) ... -0.494 eV/atom

Cell: 7.4520 7.4520 7.4520 Å, 110.82 110.82 106.80°
Fractional coordinates of all 8 atoms:
Ba: 0.0843 0.6250 0.9593
Ba: 0.3750 0.3343 0.4593
Ba: 0.6657 0.1250 0.0407
Ba: 0.8750 0.9157 0.5407
Ni: 0.0000 0.0000 0.0000
Ni: 0.7500 0.2500 0.5000
Te: 0.2500 0.7500 0.5000
Te: 0.5000 0.5000 0.0000

=====

## BaNi2Te2 (PBE)

Data for BaNi2Te2 after structural relaxation.

Computed properties:
SG ... I4/mmm
ΔE_f (raw) ... -0.637 eV/atom

Cell: 7.0319 7.0319 7.0319 Å, 143.81 143.81 52.11°
Fractional coordinates of all 5 atoms:
Ba: 0.0000 0.0000 0.0000
Ni: 0.2500 0.7500 0.5000
Ni: 0.7500 0.2500 0.5000
Te: 0.3543 0.3543 0.0000
Te: 0.6457 0.6457 0.0000

=====

## Ba2NiTe (PBE)

Data for Ba2NiTe after structural relaxation.

Computed properties:
SG ... R-3m
ΔE_f (raw) ... -0.646 eV/atom

Cell: 8.3559 8.3559 8.3559 Å, 33.14 33.14 33.14°
Fractional coordinates of all 4 atoms:
Ba: 0.2439 0.2439 0.2439
Ba: 0.7561 0.7561 0.7561
Ni: 0.5000 0.5000 0.5000
Te: 0.0000 0.0000 0.0000

=====

## Ba2NiTe2 (PBE)

Data for Ba2NiTe2 after structural relaxation.

Computed properties:
SG ... I4/mmm
ΔE_f (raw) ... -0.297 eV/atom

Cell: 9.7674 9.7674 9.7674 Å, 153.52 153.52 37.80°
Fractional coordinates of all 5 atoms:
Ba: 0.1003 0.1003 0.0000
Ba: 0.8997 0.8997 0.0000
Ni: 0.5000 0.5000 0.0000
Te: 0.2500 0.7500 0.5000
Te: 0.7500 0.2500 0.5000

=====

## Ba2TlNiTe (PBE)

Data for Ba2TlNiTe after structural relaxation.

Computed properties:
SG ... P4/mmm
ΔE_f (raw) ... -0.626 eV/atom

Cell: 5.9661 5.9661 4.9685 Å, 90.00 90.00 90.00°
Fractional coordinates of all 5 atoms:
Ba: 0.0000 0.5000 0.0000
Ba: 0.5000 0.0000 0.0000
Tl: 0.0000 0.0000 0.5000
Ni: 0.0000 0.0000 0.0000
Te: 0.5000 0.5000 0.5000

=====

## Ba2UNiTe5 (PBE)

Data for Ba2UNiTe5 after structural relaxation.

Computed properties:
SG ... Cmc2_1
ΔE_f (raw) ... -1.002 eV/atom

Cell: 10.3410 10.3410 14.1304 Å, 90.00 90.00 155.01°
Fractional coordinates of all 18 atoms:
Ba: 0.1145 0.8855 0.5000
Ba: 0.1272 0.8728 0.8666
Ba: 0.8728 0.1272 0.3666
Ba: 0.8855 0.1145 0.0000
U: 0.1940 0.8060 0.1775
U: 0.8060 0.1940 0.6775
Ni: 0.4165 0.5835 0.5762
Ni: 0.5835 0.4165 0.0762
Te: 0.0475 0.9525 0.1464
Te: 0.2939 0.7061 0.5313
Te: 0.3104 0.6896 0.8259
Te: 0.3438 0.6562 0.1815
Te: 0.4938 0.5062 0.4326
Te: 0.5062 0.4938 0.9326
Te: 0.6562 0.3438 0.6815
Te: 0.6896 0.3104 0.3259
Te: 0.7061 0.2939 0.0313
Te: 0.9525 0.0475 0.6464

=====

## BaThNi2 (PBE)

Data for BaThNi2 after structural relaxation.

Computed properties:
Formation enthalpy at 0 K ... -16.8 kJ/mol of atoms
SG ... P4/mmm

Cell: 3.6205 3.6205 7.5589 Å, 90.00 90.00 90.00°
Fractional coordinates of all 4 atoms:
Ba: 0.0000 0.0000 0.0000
Th: 0.0000 0.0000 0.5000
Ni: 0.5000 0.5000 0.3251
Ni: 0.5000 0.5000 0.6749

=====

These records have calculated volume values of 159.9; 318.0; 120.5; 155.2; 185.0; 176.9; 638.4; 99.1 Å³ per cell, in the order they appear.
These records have E_tot values of -3.8137; -3.6859; -4.5907; -3.8380; -3.4791; -3.6527; -5.0713; -5.4006 eV per atom, in the order they appear.